# YTc2AgO8, relaxed, DFT GGA-PBE
data_YTc2AgO8
_symmetry_space_group_name_H-M 'P -3 m 1'
_symmetry_Int_Tables_number 164
_symmetry_space_group_name_Hall '-P 3 2"'
_cell_length_a 6.0407
_cell_length_b 6.0407
_cell_length_c 6.6398
_cell_angle_alpha 90.00
_cell_angle_beta 90.00
_cell_angle_gamma 120.00
loop_
_atom_site_label
_atom_site_type_symbol
_atom_site_fract_x
_atom_site_fract_y
_atom_site_fract_z
Y1 Y 0.0000 0.0000 0.0000
Tc1 Tc 0.3333 0.6667 0.2970
Ag1 Ag 0.0000 0.0000 0.5000
O1 O 0.1697 0.3395 0.2108
O2 O 0.3333 0.6667 0.5583
# - D(E_F) (states/eV/cell) = 5.7
# - formation energy without anion corrections (meV per atom) = -1597

---

# ZnTc2AgO8, relaxed, DFT GGA-PBE
data_ZnTc2AgO8
_symmetry_space_group_name_H-M 'P -3'
_symmetry_Int_Tables_number 147
_cell_length_a 5.8122
_cell_length_b 5.8122
_cell_length_c 6.4825
_cell_angle_alpha 90.00
_cell_angle_beta 90.00
_cell_angle_gamma 120.00
loop_
_symmetry_equiv_pos_as_xyz
'x,y,z'
'-x,-y,-z'
'-y,x-y,z'
'y,-x+y,-z'
'-x+y,-x,z'
'x-y,x,-z'
loop_
_atom_site_label
_atom_site_type_symbol
_atom_site_fract_x
_atom_site_fract_y
_atom_site_fract_z
Zn1 Zn 0.0000 0.0000 0.0000
Tc1 Tc 0.3333 0.6667 0.2767
Ag1 Ag 0.0000 0.0000 0.5000
O1 O 0.1616 0.3283 0.1986
O2 O 0.3333 0.6667 0.5438
# - D(E_F) (states/eV/cell) = 5.6
# - formation energy without anion corrections (meV per atom) = -1149

---

# Ag3TeO4, relaxed, DFT GGA-PBE
data_Ag3TeO4
_symmetry_space_group_name_H-M 'P m n 21'
_symmetry_Int_Tables_number 31
_cell_length_a 9.896
_cell_length_b 4.889
_cell_length_c 4.794
_cell_angle_alpha 90.00
_cell_angle_beta 90.00
_cell_angle_gamma 90.00
loop_
_symmetry_equiv_pos_as_xyz
'x,y,z'
'-x+1/2,-y,z+1/2'
'-x,y,z'
'x+1/2,-y,z+1/2'
loop_
_atom_site_label
_atom_site_type_symbol
_atom_site_fract_x
_atom_site_fract_y
_atom_site_fract_z
Ag1 Ag 0.000 0.239 0.000
Ag2 Ag 0.249 0.754 0.983
Te1 Te 0.000 0.733 0.500
O1 O 0.000 0.128 0.517
O2 O 0.000 0.718 0.098
O3 O 0.215 0.746 0.485
# - D(E_F) (states/eV/cell) = 9.1
# - formation energy without anion corrections (meV per atom) = -381

---

# Ag4TeO5, relaxed, DFT GGA-PBE
data_Ag4TeO5
_symmetry_space_group_name_H-M 'I 4'
_symmetry_Int_Tables_number 79
_cell_length_a 7.244
_cell_length_b 7.244
_cell_length_c 5.537
_cell_angle_alpha 90.00
_cell_angle_beta 90.00
_cell_angle_gamma 90.00
loop_
_symmetry_equiv_pos_as_xyz
'x,y,z'
'-y,x,z'
'-x,-y,z'
'y,-x,z'
'x+1/2,y+1/2,z+1/2'
'-y+1/2,x+1/2,z+1/2'
'-x+1/2,-y+1/2,z+1/2'
'y+1/2,-x+1/2,z+1/2'
loop_
_atom_site_label
_atom_site_type_symbol
_atom_site_fract_x
_atom_site_fract_y
_atom_site_fract_z
Ag1 Ag 0.055 0.318 0.000
Te1 Te 0.000 0.000 0.497
O1 O 0.000 0.000 0.155
O2 O 0.127 0.233 0.568
# - D(E_F) (states/eV/cell) = 10.1
# - formation energy without anion corrections (meV per atom) = -353

---

# Ag2Te2O7, relaxed, DFT GGA-PBE
data_Ag2Te2O7
_symmetry_space_group_name_H-M 'C 1 2/m 1'
_symmetry_Int_Tables_number 12
_cell_length_a 7.490
_cell_length_b 6.647
_cell_length_c 5.694
_cell_angle_alpha 90.00
_cell_angle_beta 90.13
_cell_angle_gamma 90.00
loop_
_symmetry_equiv_pos_as_xyz
'x,y,z'
'-x,-y,-z'
'-x,y,-z'
'x,-y,z'
'x+1/2,y+1/2,z'
'-x+1/2,-y+1/2,-z'
'-x+1/2,y+1/2,-z'
'x+1/2,-y+1/2,z'
loop_
_atom_site_label
_atom_site_type_symbol
_atom_site_fract_x
_atom_site_fract_y
_atom_site_fract_z
Ag1 Ag 0.000 0.228 0.000
Te1 Te 0.223 0.500 0.500
O1 O 0.000 0.000 0.500
O2 O 0.000 0.500 0.290
O3 O 0.250 0.250 0.275
# - D(E_F) (states/eV/cell) = 14.5
# - formation energy without anion corrections (meV per atom) = -415

---

# Ag2TeO2, relaxed, DFT GGA-PBE
data_Ag2TeO2
_symmetry_space_group_name_H-M 'C 1 2/m 1'
_symmetry_Int_Tables_number 12
_cell_length_a 12.648
_cell_length_b 3.349
_cell_length_c 9.334
_cell_angle_alpha 90.00
_cell_angle_beta 109.06
_cell_angle_gamma 90.00
loop_
_symmetry_equiv_pos_as_xyz
'x,y,z'
'-x,-y,-z'
'-x,y,-z'
'x,-y,z'
'x+1/2,y+1/2,z'
'-x+1/2,-y+1/2,-z'
'-x+1/2,y+1/2,-z'
'x+1/2,-y+1/2,z'
loop_
_atom_site_label
_atom_site_type_symbol
_atom_site_fract_x
_atom_site_fract_y
_atom_site_fract_z
Ag1 Ag 0.016 0.000 0.170
Ag2 Ag 0.138 0.500 0.038
Te1 Te 0.143 0.500 0.624
O1 O 0.003 0.500 0.350
O2 O 0.226 0.500 0.840
# - D(E_F) (states/eV/cell) = 4.0
# - formation energy without anion corrections (meV per atom) = -363